# 1
ZrPaZn4: optimized geometry, GGA-PBE.

Cell lengths 3.151, 4.490, 7.779 Å; angles 90.00, 90.00, 90.00 degrees
Element x y z (fractional)
Zr  0.000  0.000  0.000
Pa  0.000  0.500  0.500
Zn  0.500  0.000  0.323
Zn  0.500  0.000  0.677
Zn  0.500  0.500  0.159
Zn  0.500  0.500  0.841

Summary:
Size of the total moment: 0.00 μB per atom
Uncorrected energy: -4.0309 eV per atom
N(E_F): 6.35 states/eV per cell
Energy of formation: -174 meV per atom
Excess energy over the best structure of this formula in the dataset: 0 meV/atom

# 2
Zr5PaZn4: optimized geometry, GGA-PBE.

Cell lengths 3.176, 3.176, 19.733 Å; angles 90.00, 90.00, 90.00 degrees
Element x y z (fractional)
Zr  0.000  0.000  0.000
Zr  0.000  0.000  0.187
Zr  0.000  0.000  0.376
Zr  0.000  0.000  0.624
Zr  0.000  0.000  0.813
Pa  0.500  0.500  0.500
Zn  0.500  0.500  0.094
Zn  0.500  0.500  0.281
Zn  0.500  0.500  0.719
Zn  0.500  0.500  0.906

Summary:
Size of the total moment: 0.00 μB per atom
Uncorrected energy: -5.9130 eV per atom
N(E_F): 11.10 states/eV per cell
Energy of formation: -180 meV per atom

# 3
ZrPaZn2: optimized geometry, GGA-PBE.

Cell lengths 4.883, 4.883, 4.883 Å; angles 60.00, 60.00, 60.00 degrees
Element x y z (fractional)
Zr  0.000  0.000  0.000
Pa  0.500  0.500  0.500
Zn  0.250  0.250  0.250
Zn  0.750  0.750  0.750

Summary:
Size of the total moment: 0.19 μB per atom
Uncorrected energy: -5.1499 eV per atom
N(E_F): 5.64 states/eV per cell
Energy of formation: -2 meV per atom
Excess energy over the best structure of this formula in the dataset: 131 meV/atom

# 4
ZrPaZn: optimized geometry, GGA-PBE.

Cell lengths 7.139, 5.871, 5.430 Å; angles 78.24, 53.63, 48.13 degrees
Element x y z (fractional)
Zr  0.146  0.146  0.854
Zr  0.854  0.854  0.146
Pa  0.334  0.666  0.334
Pa  0.666  0.334  0.666
Zn  0.250  0.250  0.250
Zn  0.750  0.750  0.750

Summary:
Size of the total moment: 0.00 μB per atom
Uncorrected energy: -6.5454 eV per atom
N(E_F): 6.73 states/eV per cell
Energy of formation: -106 meV per atom
Excess energy over the best structure of this formula in the dataset: 0 meV/atom

# 5
ZrPaZn: optimized geometry, GGA-PBE.

Cell lengths 7.180, 7.180, 7.180 Å; angles 155.40, 155.40, 35.07 degrees
Element x y z (fractional)
Zr  0.000  0.000  0.000
Pa  0.683  0.683  0.000
Zn  0.350  0.350  0.000

Summary:
Size of the total moment: 0.00 μB per atom
Uncorrected energy: -6.4935 eV per atom
N(E_F): 5.01 states/eV per cell
Energy of formation: -54 meV per atom
Excess energy over the best structure of this formula in the dataset: 52 meV/atom

# 6
ZrPaZn2: optimized geometry, GGA-PBE.

Cell lengths 3.068, 3.068, 8.342 Å; angles 90.00, 90.00, 90.00 degrees
Element x y z (fractional)
Zr  0.000  0.000  0.000
Pa  0.000  0.000  0.500
Zn  0.500  0.500  0.235
Zn  0.500  0.500  0.765

Summary:
Size of the total moment: 0.04 μB per atom
Uncorrected energy: -5.2808 eV per atom
N(E_F): 5.18 states/eV per cell
Energy of formation: -133 meV per atom
Excess energy over the best structure of this formula in the dataset: 0 meV/atom

# 7
ZrPaZn6: optimized geometry, GGA-PBE.

Cell lengths 4.356, 6.147, 6.147 Å; angles 59.86, 90.00, 90.00 degrees
Element x y z (fractional)
Zr  0.000  0.000  0.000
Pa  0.500  0.665  0.665
Zn  0.000  0.033  0.483
Zn  0.000  0.482  0.482
Zn  0.000  0.483  0.033
Zn  0.500  0.177  0.643
Zn  0.500  0.179  0.179
Zn  0.500  0.643  0.177

Summary:
Size of the total moment: 0.00 μB per atom
Uncorrected energy: -3.3293 eV per atom
N(E_F): 6.24 states/eV per cell
Energy of formation: -118 meV per atom

# 8
ZrPaZn4: optimized geometry, GGA-PBE.

Cell lengths 5.355, 5.355, 5.355 Å; angles 60.00, 60.00, 60.00 degrees
Element x y z (fractional)
Zr  0.000  0.000  0.000
Pa  0.250  0.250  0.250
Zn  0.123  0.626  0.626
Zn  0.626  0.123  0.626
Zn  0.626  0.626  0.123
Zn  0.626  0.626  0.626

Summary:
Size of the total moment: 0.32 μB per atom
Uncorrected energy: -4.0179 eV per atom
N(E_F): 5.26 states/eV per cell
Energy of formation: -161 meV per atom
Excess energy over the best structure of this formula in the dataset: 13 meV/atom

# 9
ZrPa6: optimized geometry, GGA-PBE.

Cell lengths 7.891, 7.891, 7.891 Å; angles 118.12, 118.12, 118.12 degrees
Element x y z (fractional)
Zr  0.000  0.000  0.000
Pa  0.078  0.262  0.513
Pa  0.262  0.513  0.078
Pa  0.487  0.922  0.738
Pa  0.513  0.078  0.262
Pa  0.738  0.487  0.922
Pa  0.922  0.738  0.487

Summary:
Size of the total moment: 0.00 μB per atom
Uncorrected energy: -9.2240 eV per atom
N(E_F): 17.56 states/eV per cell
Energy of formation: 136 meV per atom

# 10
Zr3Pa: optimized geometry, GGA-PBE.

Cell lengths 3.101, 5.305, 5.752 Å; angles 90.00, 90.00, 90.00 degrees
Element x y z (fractional)
Zr  0.000  0.000  0.000
Zr  0.000  0.500  0.268
Zr  0.500  0.000  0.507
Pa  0.500  0.500  0.765

Summary:
Size of the total moment: 0.00 μB per atom
Uncorrected energy: -8.7116 eV per atom
N(E_F): 6.44 states/eV per cell
Energy of formation: 73 meV per atom
Excess energy over the best structure of this formula in the dataset: 1 meV/atom

# 11
Zr3Pa13: optimized geometry, GGA-PBE.

Cell lengths 8.929, 6.670, 6.670 Å; angles 91.45, 90.00, 90.00 degrees
Element x y z (fractional)
Zr  0.000  0.000  0.000
Zr  0.246  0.233  0.233
Zr  0.754  0.233  0.233
Pa  0.000  0.486  0.486
Pa  0.000  0.496  0.989
Pa  0.000  0.989  0.496
Pa  0.249  0.238  0.735
Pa  0.249  0.735  0.238
Pa  0.250  0.741  0.741
Pa  0.500  0.486  0.486
Pa  0.500  0.486  0.993
Pa  0.500  0.991  0.991
Pa  0.500  0.993  0.486
Pa  0.750  0.741  0.741
Pa  0.751  0.238  0.735
Pa  0.751  0.735  0.238

Summary:
Size of the total moment: 0.00 μB per atom
Uncorrected energy: -9.2656 eV per atom
N(E_F): 25.82 states/eV per cell
Energy of formation: 53 meV per atom

# 12
Zr3Pa: optimized geometry, GGA-PBE.

Cell lengths 6.234, 6.234, 6.234 Å; angles 151.06, 62.98, 125.39 degrees
Element x y z (fractional)
Zr  0.000  0.000  0.000
Zr  0.004  0.261  0.743
Zr  0.518  0.261  0.257
Pa  0.491  0.991  0.500

Summary:
Size of the total moment: 0.00 μB per atom
Uncorrected energy: -8.7050 eV per atom
N(E_F): 7.51 states/eV per cell
Energy of formation: 80 meV per atom
Excess energy over the best structure of this formula in the dataset: 8 meV/atom